12
Lattice="4.046 0.000 0.000 0.000 4.046 0.000 0.000 0.000 12.254" Properties=species:S:1:pos:R:3 comment="Ho2Pt9Rh (PBE, optimized geometry)" formation_enthalpy_0k_ev_per_atom=-0.667 pbc="T T T"
Rh 0.000 0.000 0.000
Pt 2.023 2.023 4.034
Pt 2.023 0.000 10.318
Pt 0.000 2.023 10.318
Pt 2.023 2.023 0.000
Pt 2.023 0.000 1.936
Pt 0.000 2.023 1.936
Pt 0.000 2.023 6.127
Pt 2.023 0.000 6.127
Pt 2.023 2.023 8.221
Ho 0.000 0.000 4.052
Ho 0.000 0.000 8.202